The following is a DFT calculation (PBE+U) of crystalline MoCOF2 at its relaxed geometry.

Cell lengths 4.2141, 4.2141, 3.8769 Å; angles 90.00, 90.00, 90.00 degrees
Space group P4/mmm (No. 123)
One atom of each set of equivalent atoms:
Mo: 0.0000 0.0000 0.0000 (multiplicity 1)
C: 0.5000 0.5000 0.5000 (multiplicity 1)
O: 0.0000 0.0000 0.5000 (multiplicity 1)
F: 0.0000 0.5000 0.0000 (multiplicity 2)

Summary:
- magnetization (Bohr magnetons per cell) = 0.24
- energy above the lowest structure with this stoichiometry (kJ/mol of formula units) = 0.0